Record 1
Y2Sn2Au | PBE | optimized geometry

POSCAR file:
```
Y2Sn2Au
1.0
7.972 0.000 0.000
0.000 7.972 0.000
0.000 0.000 4.406
Y Sn Au
4 4 2
direct
0.174 0.326 0.000
0.326 0.826 0.000
0.674 0.174 0.000
0.826 0.674 0.000
0.128 0.628 0.500
0.372 0.128 0.500
0.628 0.872 0.500
0.872 0.372 0.500
0.000 0.000 0.000
0.500 0.500 0.000
```

## Properties
Its excess energy over the best structure of this formula in the dataset is 0.685 eV/f.u. For the uncorrected energy, the calculation gives -5.38 eV per atom. The value obtained for the density of states at the Fermi level is 5.7 states/eV per cell. As for the space group: No. 127.


Record 2
YSn3Au3 | PBE | optimized geometry

POSCAR file:
```
YSn3Au3
1.0
7.512 0.000 0.000
0.000 7.512 0.000
0.000 0.000 7.512
Y Sn Au
2 6 6
direct
0.000 0.000 0.000
0.500 0.500 0.500
0.000 0.250 0.500
0.000 0.750 0.500
0.250 0.500 0.000
0.500 0.000 0.250
0.500 0.000 0.750
0.750 0.500 0.000
0.000 0.500 0.250
0.000 0.500 0.750
0.250 0.000 0.500
0.500 0.250 0.000
0.500 0.750 0.000
0.750 0.000 0.500
```

## Properties
For the uncorrected energy, the calculation gives -3.94 eV per atom. The value obtained for the density of states at the Fermi level is 6.7 states/eV per cell. As for the space group: No. 223.


Record 3
YSnAu3 | PBE | optimized geometry

POSCAR file:
```
YSnAu3
1.0
5.134 0.000 0.000
0.000 5.134 0.000
0.000 0.000 5.134
Y Sn Au
1 1 3
direct
0.000 0.000 0.000
0.500 0.500 0.500
0.000 0.500 0.500
0.500 0.000 0.500
0.500 0.500 0.000
```

## Properties
Its excess energy over the best structure of this formula in the dataset is 0.000 eV/f.u. For the uncorrected energy, the calculation gives -4.00 eV per atom. The value obtained for the density of states at the Fermi level is 4.3 states/eV per cell. As for the space group: No. 221.


Record 4
YSn2Au | PBE | optimized geometry

POSCAR file:
```
YSn2Au
1.0
3.515 0.000 0.000
-1.758 3.044 0.000
0.000 0.000 30.955
Y Sn Au
3 6 3
direct
0.000 0.000 0.000
0.333 0.667 0.667
0.667 0.333 0.333
0.000 0.000 0.100
0.000 0.000 0.900
0.333 0.667 0.566
0.333 0.667 0.767
0.667 0.333 0.233
0.667 0.333 0.434
0.000 0.000 0.500
0.333 0.667 0.167
0.667 0.333 0.833
```

## Properties
For the uncorrected energy, the calculation gives -4.46 eV per atom. The value obtained for the density of states at the Fermi level is 7.5 states/eV per cell. As for the space group: No. 166.


Record 5
YSnAu4 | PBE | optimized geometry

POSCAR file:
```
YSnAu4
1.0
3.723 0.000 0.000
0.000 3.699 0.000
-0.015 0.000 9.156
Y Sn Au
1 1 4
direct
0.000 0.000 0.000
0.500 0.500 0.500
0.002 0.000 0.332
0.500 0.500 0.168
0.500 0.500 0.832
0.998 0.000 0.668
```

## Properties
Its excess energy over the best structure of this formula in the dataset is 0.009 eV/f.u. For the uncorrected energy, the calculation gives -4.39 eV per atom. The value obtained for the density of states at the Fermi level is 2.1 states/eV per cell. As for the space group: No. 10.


Record 6
YSn2Au | PBE | optimized geometry

POSCAR file:
```
YSn2Au
1.0
4.649 0.000 0.000
0.000 4.649 0.000
0.000 0.000 4.376
Y Sn Au
1 2 1
direct
0.000 0.000 0.000
0.000 0.500 0.500
0.500 0.000 0.500
0.500 0.500 0.000
```

## Properties
For the uncorrected energy, the calculation gives -4.98 eV per atom. The value obtained for the density of states at the Fermi level is 2.5 states/eV per cell. As for the space group: No. 123.


Record 7
Y3Sn2Au | PBE | optimized geometry

POSCAR file:
```
Y3Sn2Au
1.0
12.194 0.000 0.000
0.000 4.545 0.000
0.000 0.000 11.738
Y Sn Au
12 8 4
direct
0.049 0.250 0.124
0.127 0.750 0.562
0.221 0.250 0.804
0.279 0.750 0.304
0.373 0.250 0.062
0.451 0.750 0.624
0.549 0.250 0.376
0.627 0.750 0.938
0.721 0.250 0.696
0.779 0.750 0.196
0.873 0.250 0.438
0.951 0.750 0.876
0.005 0.750 0.310
0.186 0.750 0.013
0.314 0.250 0.513
0.495 0.250 0.810
0.505 0.750 0.190
0.686 0.750 0.487
0.814 0.250 0.987
0.995 0.250 0.690
0.132 0.250 0.364
0.368 0.750 0.864
0.632 0.250 0.136
0.868 0.750 0.636
```

## Properties
For the uncorrected energy, the calculation gives -5.88 eV per atom. The value obtained for the density of states at the Fermi level is 17.4 states/eV per cell. As for the space group: No. 62.


Record 8
YSn3Au6 | PBE | optimized geometry

POSCAR file:
```
YSn3Au6
1.0
6.327 3.653 1.699
-6.327 3.653 1.699
0.000 -7.306 1.699
Y Sn Au
1 3 6
direct
0.000 0.000 0.000
0.332 0.332 0.931
0.332 0.931 0.332
0.931 0.332 0.332
0.296 0.875 0.875
0.439 0.439 0.669
0.439 0.669 0.439
0.669 0.439 0.439
0.875 0.296 0.875
0.875 0.875 0.296
```

## Properties
For the uncorrected energy, the calculation gives -4.06 eV per atom. The value obtained for the density of states at the Fermi level is 2.6 states/eV per cell. As for the space group: No. 160.


Record 9
Y5SnAu2 | PBE | optimized geometry

POSCAR file:
```
Y5SnAu2
1.0
-4.022 4.022 6.651
4.022 -4.022 6.651
4.022 4.022 -6.651
Y Sn Au
10 2 4
direct
0.000 0.000 0.000
0.013 0.513 0.815
0.198 0.013 0.500
0.302 0.802 0.815
0.487 0.302 0.500
0.500 0.500 0.000
0.513 0.698 0.500
0.698 0.198 0.185
0.802 0.987 0.500
0.987 0.487 0.185
0.250 0.250 0.000
0.750 0.750 0.000
0.135 0.365 0.500
0.365 0.865 0.229
0.635 0.135 0.771
0.865 0.635 0.500
```

## Properties
For the uncorrected energy, the calculation gives -6.06 eV per atom. The value obtained for the density of states at the Fermi level is 20.1 states/eV per cell. As for the space group: No. 140.


Record 10
YSn2Au | PBE | optimized geometry

POSCAR file:
```
YSn2Au
1.0
7.314 0.000 0.000
0.000 7.314 0.000
0.000 0.000 7.314
Y Sn Au
4 8 4
direct
0.000 0.000 0.000
0.000 0.500 0.500
0.500 0.000 0.500
0.500 0.500 0.000
0.250 0.250 0.250
0.250 0.250 0.750
0.250 0.750 0.250
0.250 0.750 0.750
0.750 0.250 0.250
0.750 0.250 0.750
0.750 0.750 0.250
0.750 0.750 0.750
0.000 0.000 0.500
0.000 0.500 0.000
0.500 0.000 0.000
0.500 0.500 0.500
```

## Properties
For the uncorrected energy, the calculation gives -4.69 eV per atom. The value obtained for the density of states at the Fermi level is 11.6 states/eV per cell. As for the space group: No. 225.


Record 11
YSn2Au2 | PBE | optimized geometry

POSCAR file:
```
YSn2Au2
1.0
8.145 0.000 0.000
0.000 8.145 0.000
0.000 0.000 3.512
Y Sn Au
2 4 4
direct
0.000 0.000 0.000
0.500 0.500 0.000
0.139 0.361 0.000
0.361 0.861 0.000
0.639 0.139 0.000
0.861 0.639 0.000
0.161 0.661 0.500
0.339 0.161 0.500
0.661 0.839 0.500
0.839 0.339 0.500
```

## Properties
For the uncorrected energy, the calculation gives -4.51 eV per atom. The value obtained for the density of states at the Fermi level is 5.0 states/eV per cell. As for the space group: No. 127.


Record 12
YSn2Au2 | PBE | optimized geometry

POSCAR file:
```
YSn2Au2
1.0
7.761 0.000 0.000
0.000 7.761 0.000
0.000 0.000 3.925
Y Sn Au
2 4 4
direct
0.000 0.000 0.000
0.500 0.500 0.000
0.180 0.320 0.500
0.320 0.820 0.500
0.680 0.180 0.500
0.820 0.680 0.500
0.127 0.627 0.000
0.373 0.127 0.000
0.627 0.873 0.000
0.873 0.373 0.000
```

## Properties
For the uncorrected energy, the calculation gives -4.63 eV per atom. The value obtained for the density of states at the Fermi level is 4.6 states/eV per cell. As for the space group: No. 127.